# 1
Here is a relaxed structure of SrLaAsPt from Alexandria via LeMat-Bulk. Energies are from PBE-GGA.

## Properties
E_form: -24.0 kcal/mol of atoms
SG: No. 216
mass density: 8.00 g/cm³

Geometry as POSCAR:
```
SrLaAsPt
1.0
0.0000 3.7216 3.7216
3.7216 0.0000 3.7216
3.7216 3.7216 0.0000
Sr La As Pt
1 1 1 1
direct
0.0000 0.0000 0.0000
0.5000 0.5000 0.5000
0.7500 0.7500 0.7500
0.2500 0.2500 0.2500
```

# 2
Here is a relaxed structure of TaMnSn from Alexandria via LeMat-Bulk. Energies are from PBE-GGA.

## Properties
E_form: 1.5 kcal/mol of atoms
SG: No. 139
mass density: 10.50 g/cm³

Geometry as POSCAR:
```
TaMnSn
1.0
-1.6104 1.6104 10.8141
1.6104 -1.6104 10.8141
1.6104 1.6104 -10.8141
Ta Mn Sn
2 2 2
direct
0.1583 0.1583 0.0000
0.8417 0.8417 0.0000
0.2832 0.2832 0.0000
0.7168 0.7168 0.0000
0.4325 0.4325 0.0000
0.5675 0.5675 0.0000
```

# 3
Here is a relaxed structure of TaP3Ir from Alexandria via LeMat-Bulk. Energies are from PBE-GGA.

## Properties
E_form: 25.6 kcal/mol of atoms
relative energy among the computed polymorphs: 85.5 meV per atom
SG: No. 221
mass density: 7.36 g/cm³

Geometry as POSCAR:
```
TaP3Ir
1.0
4.7194 0.0000 0.0000
0.0000 4.7194 0.0000
0.0000 0.0000 4.7194
Ta P Ir
1 3 1
direct
0.0000 0.0000 0.0000
0.0000 0.0000 0.5000
0.0000 0.5000 0.0000
0.5000 0.0000 0.0000
0.5000 0.5000 0.5000
```

# 4
Here is a relaxed structure of HoB2Cl8 from Alexandria via LeMat-Bulk. Energies are from PBE-GGA.

## Properties
ΔE_f (raw): -12.3 eV per formula unit
SG: No. 12
mass density: 2.28 g/cm³

Geometry as POSCAR:
```
HoB2Cl8
1.0
6.0584 -4.8605 0.0000
6.0584 4.8605 0.0000
-0.9893 0.0000 5.8189
Ho B Cl
1 2 8
direct
0.0000 0.0000 0.0000
0.1996 0.1996 0.6553
0.8004 0.8004 0.3447
0.0332 0.7255 0.2552
0.1891 0.1891 0.3242
0.2745 0.9668 0.7448
0.3447 0.3447 0.7808
0.6553 0.6553 0.2192
0.7255 0.0332 0.2552
0.8109 0.8109 0.6758
0.9668 0.2745 0.7448
```

# 5
Here is a relaxed structure of NpSbF from Alexandria via LeMat-Bulk. Energies are from PBE-GGA.

## Properties
ΔE_f (raw): -4.5 eV per formula unit
relative energy among the computed polymorphs: 0.0 meV per atom
SG: No. 187
mass density: 9.58 g/cm³

Geometry as POSCAR:
```
NpSbF
1.0
4.1106 0.0000 0.0000
-2.0553 3.5599 0.0000
0.0000 0.0000 4.4745
Np Sb F
1 1 1
direct
0.0000 0.0000 0.0000
0.6667 0.3333 0.5000
0.3333 0.6667 0.0000
```

# 6
Here is a relaxed structure of Pr2Sm3Er6Pb from Alexandria via LeMat-Bulk. Energies are from PBE-GGA.

## Properties
E_form: -1.6 kcal/mol of atoms
SG: No. 12
mass density: 8.56 g/cm³

Geometry as POSCAR:
```
Pr2Sm3Er6Pb
1.0
3.0653 -5.3096 0.0000
3.0653 5.3096 0.0000
-2.0521 0.0000 11.5794
Pr Sm Er Pb
2 3 6 1
direct
0.1664 0.8336 0.0000
0.8336 0.1664 0.0000
0.0000 0.0000 0.5000
0.3325 0.6675 0.5000
0.6675 0.3325 0.5000
0.0910 0.4177 0.7510
0.2561 0.2561 0.2497
0.4177 0.0910 0.7510
0.5823 0.9090 0.2490
0.7439 0.7439 0.7503
0.9090 0.5823 0.2490
0.5000 0.5000 0.0000
```

# 7
Here is a relaxed structure of Pm8TmTl6 from Alexandria via LeMat-Bulk. Energies are from PBE-GGA.

## Properties
E_form: -3.6 kcal/mol of atoms
SG: No. 148
mass density: 8.62 g/cm³

Geometry as POSCAR:
```
Pm8TmTl6
1.0
4.6393 2.6785 6.6045
-4.6393 2.6785 6.6045
0.0000 -5.3570 6.6045
Pm Tm Tl
8 1 6
direct
0.0539 0.3902 0.7245
0.1654 0.1654 0.1654
0.2755 0.9461 0.6098
0.3902 0.7245 0.0539
0.6098 0.2755 0.9461
0.7245 0.0539 0.3902
0.8346 0.8346 0.8346
0.9461 0.6098 0.2755
0.5000 0.5000 0.5000
0.1138 0.7665 0.4407
0.2335 0.5593 0.8862
0.4407 0.1138 0.7665
0.5593 0.8862 0.2335
0.7665 0.4407 0.1138
0.8862 0.2335 0.5593
```

# 8
Here is a relaxed structure of Ta3Co from Alexandria via LeMat-Bulk. Energies are from PBE-GGA.

## Properties
E_form: 3.7 kcal/mol of atoms
SG: No. 194
mass density: 15.09 g/cm³

Geometry as POSCAR:
```
Ta3Co
1.0
5.6287 0.0000 0.0000
-2.8143 4.8746 0.0000
0.0000 0.0000 9.6544
Ta Co
12 4
direct
0.0000 0.5000 0.0000
0.0000 0.5000 0.5000
0.1632 0.3263 0.2500
0.1632 0.8368 0.2500
0.3263 0.1632 0.7500
0.5000 0.0000 0.0000
0.5000 0.0000 0.5000
0.5000 0.5000 0.0000
0.5000 0.5000 0.5000
0.6737 0.8368 0.2500
0.8368 0.1632 0.7500
0.8368 0.6737 0.7500
0.0000 0.0000 0.0000
0.0000 0.0000 0.5000
0.3333 0.6667 0.7500
0.6667 0.3333 0.2500
```

# 9
Here is a relaxed structure of LiAcPd2 from Alexandria via LeMat-Bulk. Energies are from PBE-GGA.

## Properties
E_form: -14.9 kcal/mol of atoms
relative energy among the computed polymorphs: 34.5 meV per atom
SG: No. 62
mass density: 9.06 g/cm³

Geometry as POSCAR:
```
LiAcPd2
1.0
7.6334 0.0000 0.0000
0.0000 7.2235 0.0000
0.0000 0.0000 5.9387
Li Ac Pd
4 4 8
direct
0.1098 0.2500 0.1492
0.3902 0.7500 0.6492
0.6098 0.2500 0.3508
0.8902 0.7500 0.8508
0.0285 0.7500 0.3592
0.4715 0.2500 0.8592
0.5285 0.7500 0.1408
0.9715 0.2500 0.6408
0.1818 0.5493 0.9091
0.1818 0.9507 0.9091
0.3182 0.0493 0.4091
0.3182 0.4507 0.4091
0.6818 0.5493 0.5909
0.6818 0.9507 0.5909
0.8182 0.0493 0.0909
0.8182 0.4507 0.0909
```

# 10
Here is a relaxed structure of TbPm3Sc3 from Alexandria via LeMat-Bulk. Energies are from PBE-GGA.

## Properties
E_form: 4.2 kcal/mol of atoms
relative energy among the computed polymorphs: 132.7 meV per atom
SG: No. 148
mass density: 5.60 g/cm³

Geometry as POSCAR:
```
TbPm3Sc3
1.0
4.1997 2.4247 7.0713
-4.1997 2.4247 7.0713
0.0000 -4.8494 7.0713
Tb Pm Sc
2 6 6
direct
0.1553 0.1553 0.1553
0.8447 0.8447 0.8447
0.0660 0.5721 0.2151
0.2151 0.0660 0.5721
0.4279 0.7849 0.9340
0.5721 0.2151 0.0660
0.7849 0.9340 0.4279
0.9340 0.4279 0.7849
0.2239 0.6689 0.4391
0.3311 0.5609 0.7761
0.4391 0.2239 0.6689
0.5609 0.7761 0.3311
0.6689 0.4391 0.2239
0.7761 0.3311 0.5609
```

# 11
Here is a relaxed structure of TbTc4P4 from Alexandria via LeMat-Bulk. Energies are from PBE-GGA.

## Properties
E_form: -13.4 kcal/mol of atoms
SG: No. 137
mass density: 8.06 g/cm³

Geometry as POSCAR:
```
TbTc4P4
1.0
5.9572 0.0000 0.0000
0.0000 5.9572 0.0000
0.0000 0.0000 7.8351
Tb Tc P
2 8 8
direct
0.2500 0.7500 0.2500
0.7500 0.2500 0.7500
0.0029 0.2500 0.1228
0.2500 0.0029 0.6228
0.2500 0.4971 0.6228
0.4971 0.2500 0.1228
0.5029 0.7500 0.8772
0.7500 0.5029 0.3772
0.7500 0.9971 0.3772
0.9971 0.7500 0.8772
0.0509 0.2500 0.4222
0.2500 0.0509 0.9222
0.2500 0.4491 0.9222
0.4491 0.2500 0.4222
0.5509 0.7500 0.5778
0.7500 0.5509 0.0778
0.7500 0.9491 0.0778
0.9491 0.7500 0.5778
```

# 12
Here is a relaxed structure of CuSiTeOs2 from Alexandria via LeMat-Bulk. Energies are from PBE-GGA.

## Properties
ΔE_f (raw): 11.8 eV per formula unit
SG: No. 123
mass density: 8.38 g/cm³

Geometry as POSCAR:
```
CuSiTeOs2
1.0
4.8368 0.0000 0.0000
0.0000 4.8368 0.0000
0.0000 0.0000 5.0772
Cu Si Te Os
1 1 1 2
direct
0.0000 0.0000 0.0000
0.5000 0.5000 0.0000
0.5000 0.5000 0.5000
0.0000 0.5000 0.5000
0.5000 0.0000 0.5000
```

# 13
Here is a relaxed structure of LiHfRe2 from Alexandria via LeMat-Bulk. Energies are from PBE-GGA.

## Properties
E_form: 10.4 kcal/mol of atoms
relative energy among the computed polymorphs: 0.0 meV per atom
SG: No. 225
mass density: 14.77 g/cm³

Geometry as POSCAR:
```
LiHfRe2
1.0
0.0000 3.1536 3.1536
3.1536 0.0000 3.1536
3.1536 3.1536 0.0000
Li Hf Re
1 1 2
direct
0.0000 0.0000 0.0000
0.5000 0.5000 0.5000
0.2500 0.2500 0.2500
0.7500 0.7500 0.7500
```

# 14
Here is a relaxed structure of LaAlTc2 from Alexandria via LeMat-Bulk. Energies are from PBE-GGA.

## Properties
E_form: 9.8 kcal/mol of atoms
SG: No. 166
mass density: 8.37 g/cm³

Geometry as POSCAR:
```
LaAlTc2
1.0
1.4810 0.8551 9.4454
-1.4810 0.8551 9.4454
0.0000 -1.7101 9.4454
La Al Tc
1 1 2
direct
0.0000 0.0000 0.0000
0.5000 0.5000 0.5000
0.2379 0.2379 0.2379
0.7621 0.7621 0.7621
```

# 15
Here is a relaxed structure of ZrPbBr2 from Alexandria via LeMat-Bulk. Energies are from PBE-GGA.

## Properties
ΔE_f (raw): -3.1 eV per formula unit
relative energy among the computed polymorphs: 0.0 meV per atom
SG: No. 166
mass density: 6.54 g/cm³

Geometry as POSCAR:
```
ZrPbBr2
1.0
1.7256 0.9963 11.2849
-1.7256 0.9963 11.2849
0.0000 -1.9925 11.2849
Zr Pb Br
1 1 2
direct
0.0000 0.0000 0.0000
0.5000 0.5000 0.5000
0.2761 0.2761 0.2761
0.7239 0.7239 0.7239
```

# 16
Here is a relaxed structure of CrIn2Pt from Alexandria via LeMat-Bulk. Energies are from PBE-GGA.

## Properties
E_form: 2.9 kcal/mol of atoms
SG: No. 166
mass density: 10.22 g/cm³

Geometry as POSCAR:
```
CrIn2Pt
1.0
1.6040 0.9260 8.6898
-1.6040 0.9260 8.6898
0.0000 -1.8521 8.6898
Cr In Pt
1 2 1
direct
0.0000 0.0000 0.0000
0.2479 0.2479 0.2479
0.7521 0.7521 0.7521
0.5000 0.5000 0.5000
```

# 17
Here is a relaxed structure of RbAg4As2 from Alexandria via LeMat-Bulk. Energies are from PBE-GGA.

## Properties
E_form: -1.8 kcal/mol of atoms
SG: No. 65
mass density: 6.52 g/cm³

Geometry as POSCAR:
```
RbAg4As2
1.0
2.2609 -8.1641 0.0000
2.2609 8.1641 0.0000
0.0000 0.0000 4.5981
Rb Ag As
1 4 2
direct
0.0000 0.0000 0.0000
0.1960 0.8040 0.5000
0.3116 0.6884 0.0000
0.6884 0.3116 0.0000
0.8040 0.1960 0.5000
0.3872 0.6128 0.5000
0.6128 0.3872 0.5000
```

# 18
Here is a relaxed structure of HfMg6Si from Alexandria via LeMat-Bulk. Energies are from PBE-GGA.

## Properties
ΔE_f (raw): 0.5 eV per formula unit
SG: No. 38
mass density: 3.50 g/cm³

Geometry as POSCAR:
```
HfMg6Si
1.0
4.8372 0.0000 0.0000
0.0000 3.1761 5.4368
0.0000 -3.1761 5.4368
Hf Mg Si
1 6 1
direct
0.0000 0.0000 0.0000
0.0000 0.0101 0.5101
0.0000 0.5101 0.0101
0.0000 0.5118 0.5118
0.5000 0.3484 0.3484
0.5000 0.3491 0.8446
0.5000 0.8446 0.3491
0.5000 0.8621 0.8621
```

# 19
Here is a relaxed structure of Th2InCu3 from Alexandria via LeMat-Bulk. Energies are from PBE-GGA.

## Properties
E_form: -3.3 kcal/mol of atoms
relative energy among the computed polymorphs: 26.4 meV per atom
SG: No. 44
mass density: 9.75 g/cm³

Geometry as POSCAR:
```
Th2InCu3
1.0
-1.8285 2.2217 8.0686
1.8285 -2.2217 8.0686
1.8285 2.2217 -8.0686
Th In Cu
2 1 3
direct
0.0000 0.0000 0.0000
0.7831 0.2831 0.5000
0.6070 0.6070 0.0000
0.1918 0.6918 0.5000
0.3438 0.8438 0.5000
0.4399 0.4399 0.0000
```

# 20
Here is a relaxed structure of TcRhW2 from Alexandria via LeMat-Bulk. Energies are from PBE-GGA.

## Properties
E_form: 5.5 kcal/mol of atoms
relative energy among the computed polymorphs: 229.7 meV per atom
SG: No. 216
mass density: 15.26 g/cm³

Geometry as POSCAR:
```
TcRhW2
1.0
0.0000 3.1395 3.1395
3.1395 0.0000 3.1395
3.1395 3.1395 0.0000
Tc Rh W
1 1 2
direct
0.0000 0.0000 0.0000
0.7500 0.7500 0.7500
0.2500 0.2500 0.2500
0.5000 0.5000 0.5000
```

# 21
Here is a relaxed structure of Zn3C from Alexandria via LeMat-Bulk. Energies are from PBE-GGA.

## Properties
E_form: 21.1 kcal/mol of atoms
SG: No. 65
mass density: 6.49 g/cm³

Geometry as POSCAR:
```
Zn3C
1.0
1.6940 -2.2387 0.0000
1.6940 2.2387 0.0000
0.0000 0.0000 7.0226
Zn C
3 1
direct
0.0000 0.0000 0.0000
0.5000 0.5000 0.3089
0.5000 0.5000 0.6911
0.0000 0.0000 0.5000
```

# 22
Here is a relaxed structure of CeDyMnGa from Alexandria via LeMat-Bulk. Energies are from PBE-GGA.

## Properties
E_form: -2.8 kcal/mol of atoms
SG: No. 216
mass density: 7.78 g/cm³

Geometry as POSCAR:
```
CeDyMnGa
1.0
0.0000 3.5719 3.5719
3.5719 0.0000 3.5719
3.5719 3.5719 0.0000
Ce Dy Mn Ga
1 1 1 1
direct
0.0000 0.0000 0.0000
0.5000 0.5000 0.5000
0.2500 0.2500 0.2500
0.7500 0.7500 0.7500
```

# 23
Here is a relaxed structure of VHgH from Alexandria via LeMat-Bulk. Energies are from PBE-GGA.

## Properties
relative energy among the computed polymorphs: 12.1 meV per atom
SG: No. 8
mass density: 10.79 g/cm³

Geometry as POSCAR:
```
VHgH
1.0
2.5804 -1.6487 0.0000
2.5804 1.6487 0.0000
-0.4961 0.0000 9.1345
V Hg H
2 2 2
direct
0.0000 0.0000 0.0000
0.5196 0.5196 0.2006
0.2170 0.2170 0.4559
0.6426 0.6426 0.7452
0.3602 0.3602 0.0144
0.8777 0.8777 0.1866
```

# 24
Here is a relaxed structure of Ti2In2Fe from Alexandria via LeMat-Bulk. Energies are from PBE-GGA.

## Properties
E_form: 4.0 kcal/mol of atoms
relative energy among the computed polymorphs: 0.0 meV per atom
SG: No. 127
mass density: 6.79 g/cm³

Geometry as POSCAR:
```
Ti2In2Fe
1.0
6.2426 0.0000 0.0000
0.0000 6.2426 0.0000
0.0000 0.0000 4.7847
Ti In Fe
4 4 2
direct
0.1592 0.3408 0.0000
0.3408 0.8408 0.0000
0.6592 0.1592 0.0000
0.8408 0.6592 0.0000
0.1662 0.6662 0.5000
0.3338 0.1662 0.5000
0.6662 0.8338 0.5000
0.8338 0.3338 0.5000
0.0000 0.0000 0.0000
0.5000 0.5000 0.0000
```

# 25
Here is a relaxed structure of PrMgCu from Alexandria via LeMat-Bulk. Energies are from PBE-GGA.

## Properties
E_form: -0.8 kcal/mol of atoms
SG: No. 216
mass density: 4.92 g/cm³

Geometry as POSCAR:
```
PrMgCu
1.0
0.0000 3.3799 3.3799
3.3799 0.0000 3.3799
3.3799 3.3799 0.0000
Pr Mg Cu
1 1 1
direct
0.0000 0.0000 0.0000
0.5000 0.5000 0.5000
0.7500 0.7500 0.7500
```